(P)
Tl2CdPdBr | PBE | optimized geometry

Cell and atoms, written as POSCAR:
```
Tl2CdPdBr
1.0
6.040 0.000 0.000
0.000 6.040 0.000
0.000 0.000 5.459
Tl Cd Pd Br
2 1 1 1
direct
0.000 0.500 0.000
0.500 0.000 0.000
0.000 0.000 0.500
0.500 0.500 0.500
0.000 0.000 0.000
```

Properties
**Density of states at the Fermi level**: 2.4 states/eV/cell
**SG**: P4/mmm (123)

***

(Q)
Tl2CdPdBr | PBE | optimized geometry

Cell and atoms, written as POSCAR:
```
Tl2CdPdBr
1.0
5.389 0.000 0.000
0.000 5.389 0.000
0.000 0.000 5.293
Tl Cd Pd Br
2 1 1 1
direct
0.000 0.500 0.000
0.500 0.000 0.000
0.000 0.000 0.500
0.000 0.000 0.000
0.500 0.500 0.500
```

Properties
**Density of states at the Fermi level**: 1.6 states/eV/cell
**SG**: P4/mmm (123)

***

Most stable structure - (Q); separation to the second - 0.842 eV/atom.